[1]
The following is a DFT calculation (PBE-GGA) of a relaxed structure of Er4TmSc3.

The volume is 28.3 Å³/atom. Its energy above the most stable polymorph in this dataset is 0 meV/atom. The calculation puts the formation energy at 16 meV/atom.

a b c (Å): 10.802 6.973 6.017
angles (deg): 90.00 90.00 90.00
Space group Pmn2_1 (No. 31)
Asymmetric unit:
Er 0.000 0.122 0.000 (multiplicity 2)
Er 0.000 0.627 0.993 (multiplicity 2)
Er 0.250 0.374 0.829 (multiplicity 4)
Tm 0.000 0.878 0.503 (multiplicity 2)
Sc 0.000 0.372 0.493 (multiplicity 2)
Sc 0.247 0.124 0.334 (multiplicity 4)

[2]
The following is a DFT calculation (PBE-GGA) of a relaxed structure of Er5Tm4Sc3.

The volume is 29.5 Å³/atom. The calculation puts the formation energy at 224 meV/atom.

a b c (Å): 15.805 5.632 8.978
angles (deg): 90.00 117.46 90.00
Space group C2/m (No. 12)
Asymmetric unit:
Er 0.000 0.000 0.000 (multiplicity 2)
Er 0.075 0.500 0.710 (multiplicity 4)
Er 0.174 0.500 0.379 (multiplicity 4)
Tm 0.081 0.000 0.439 (multiplicity 4)
Tm 0.215 0.000 0.878 (multiplicity 4)
Sc 0.000 0.500 0.000 (multiplicity 2)
Sc 0.213 0.000 0.233 (multiplicity 4)

[3]
The following is a DFT calculation (PBE-GGA) of a relaxed structure of Er5Tm6Sc.

The volume is 29.7 Å³/atom. The calculation puts the formation energy at 32 meV/atom.

a b c (Å): 4.908 9.209 9.215
angles (deg): 64.40 74.66 74.56
Space group P-1 (No. 2)
Asymmetric unit:
Er 0.000 0.000 0.000 (multiplicity 1)
Er 0.334 0.166 0.166 (multiplicity 2)
Er 0.335 0.665 0.665 (multiplicity 2)
Tm 0.166 0.086 0.582 (multiplicity 2)
Tm 0.166 0.582 0.086 (multiplicity 2)
Tm 0.500 0.253 0.747 (multiplicity 2)
Sc 0.000 0.500 0.500 (multiplicity 1)

[4]
The following is a DFT calculation (PBE-GGA) of a relaxed structure of Er2Tm9Sc.

The volume is 29.6 Å³/atom. The calculation puts the formation energy at 34 meV/atom.

a b c (Å): 4.913 4.913 14.726
angles (deg): 90.00 90.00 90.00
Space group P4/mmm (No. 123)
Asymmetric unit:
Er 0.000 0.000 0.168 (multiplicity 2)
Tm 0.000 0.500 0.000 (multiplicity 2)
Tm 0.000 0.500 0.337 (multiplicity 4)
Tm 0.500 0.500 0.169 (multiplicity 2)
Tm 0.500 0.500 0.500 (multiplicity 1)
Sc 0.000 0.000 0.500 (multiplicity 1)

[5]
The following is a DFT calculation (PBE-GGA) of a relaxed structure of Er4TmSc.

The volume is 29.9 Å³/atom. Its energy above the most stable polymorph in this dataset is 195 meV/atom. The calculation puts the formation energy at 200 meV/atom.

a b c (Å): 17.343 6.533 6.430
angles (deg): 90.00 99.80 90.00
Space group C2/c (No. 15)
Asymmetric unit:
Er 0.086 0.087 0.137 (multiplicity 8)
Er 0.164 0.369 0.528 (multiplicity 8)
Tm 0.000 0.409 0.750 (multiplicity 4)
Sc 0.250 0.250 0.000 (multiplicity 4)

[6]
The following is a DFT calculation (PBE-GGA) of a relaxed structure of Er5Tm3Sc.

The volume is 30.7 Å³/atom. The calculation puts the formation energy at 321 meV/atom.

a b c (Å): 8.908 8.908 13.945
angles (deg): 90.00 90.00 90.00
Space group I4/mcm (No. 140)
Asymmetric unit:
Er 0.000 0.000 0.000 (multiplicity 4)
Er 0.199 0.301 0.132 (multiplicity 16)
Tm 0.000 0.000 0.250 (multiplicity 4)
Tm 0.112 0.388 0.500 (multiplicity 8)
Sc 0.000 0.500 0.250 (multiplicity 4)

[7]
The following is a DFT calculation (PBE-GGA) of a relaxed structure of ErTm12Sc3.

The volume is 28.9 Å³/atom. The calculation puts the formation energy at 41 meV/atom.

a b c (Å): 4.875 4.875 19.491
angles (deg): 90.00 90.00 90.00
Space group P4/mmm (No. 123)
Asymmetric unit:
Er 0.000 0.000 0.000 (multiplicity 1)
Tm 0.000 0.500 0.128 (multiplicity 4)
Tm 0.000 0.500 0.376 (multiplicity 4)
Tm 0.500 0.500 0.000 (multiplicity 1)
Tm 0.500 0.500 0.252 (multiplicity 2)
Tm 0.500 0.500 0.500 (multiplicity 1)
Sc 0.000 0.000 0.252 (multiplicity 2)
Sc 0.000 0.000 0.500 (multiplicity 1)

[8]
The following is a DFT calculation (PBE-GGA) of a relaxed structure of ErTm12Sc5.

The volume is 28.4 Å³/atom. The calculation puts the formation energy at 33 meV/atom.

a b c (Å): 5.971 10.340 16.708
angles (deg): 90.00 96.85 90.00
Space group C2/m (No. 12)
Asymmetric unit:
Er 0.000 0.000 0.000 (multiplicity 2)
Tm 0.109 0.500 0.833 (multiplicity 4)
Tm 0.112 0.168 0.833 (multiplicity 8)
Tm 0.220 0.333 0.662 (multiplicity 8)
Tm 0.221 0.000 0.662 (multiplicity 4)
Sc 0.000 0.167 0.500 (multiplicity 4)
Sc 0.000 0.333 0.000 (multiplicity 4)
Sc 0.000 0.500 0.500 (multiplicity 2)

[9]
The following is a DFT calculation (PBE-GGA) of a relaxed structure of Er19Tm6Sc4.

The volume is 31.3 Å³/atom. The calculation puts the formation energy at 393 meV/atom.

a b c (Å): 12.200 12.200 12.200
angles (deg): 90.00 90.00 90.00
Space group I23 (No. 197)
Asymmetric unit:
Er 0.000 0.000 0.000 (multiplicity 2)
Er 0.000 0.000 0.261 (multiplicity 12)
Er 0.066 0.261 0.276 (multiplicity 24)
Tm 0.000 0.371 0.500 (multiplicity 12)
Sc 0.177 0.177 0.823 (multiplicity 8)

[10]
The following is a DFT calculation (PBE-GGA) of a relaxed structure of Er3Tm2Sc3.

The volume is 28.0 Å³/atom. Its energy above the most stable polymorph in this dataset is 22 meV/atom. The calculation puts the formation energy at 49 meV/atom.

a b c (Å): 4.776 4.858 19.341
angles (deg): 90.00 90.00 90.00
Space group Immm (No. 71)
Asymmetric unit:
Er 0.000 0.000 0.000 (multiplicity 2)
Er 0.000 0.500 0.122 (multiplicity 4)
Tm 0.000 0.000 0.249 (multiplicity 4)
Sc 0.000 0.000 0.500 (multiplicity 2)
Sc 0.000 0.500 0.376 (multiplicity 4)

[11]
The following is a DFT calculation (PBE-GGA) of a relaxed structure of ErTm15Sc4.

The volume is 28.9 Å³/atom. The calculation puts the formation energy at 42 meV/atom.

a b c (Å): 4.868 4.868 24.353
angles (deg): 90.00 90.00 90.00
Space group P4/mmm (No. 123)
Asymmetric unit:
Er 0.000 0.000 0.000 (multiplicity 1)
Tm 0.000 0.500 0.103 (multiplicity 4)
Tm 0.000 0.500 0.301 (multiplicity 4)
Tm 0.000 0.500 0.500 (multiplicity 2)
Tm 0.500 0.500 0.000 (multiplicity 1)
Tm 0.500 0.500 0.202 (multiplicity 2)
Tm 0.500 0.500 0.401 (multiplicity 2)
Sc 0.000 0.000 0.202 (multiplicity 2)
Sc 0.000 0.000 0.401 (multiplicity 2)

[12]
The following is a DFT calculation (PBE-GGA) of a relaxed structure of Er2TmSc5.

The volume is 26.7 Å³/atom. Its energy above the most stable polymorph in this dataset is 0 meV/atom. The calculation puts the formation energy at 17 meV/atom.

a b c (Å): 6.824 10.611 11.817
angles (deg): 90.00 90.00 90.00
Space group Fmm2 (No. 42)
Asymmetric unit:
Er 0.000 0.246 0.000 (multiplicity 8)
Tm 0.000 0.000 0.330 (multiplicity 4)
Sc 0.000 0.000 0.829 (multiplicity 4)
Sc 0.248 0.000 0.584 (multiplicity 8)
Sc 0.250 0.250 0.247 (multiplicity 8)

[13]
The following is a DFT calculation (PBE-GGA) of a relaxed structure of ErTm4Sc3.

The volume is 27.9 Å³/atom. The calculation puts the formation energy at 51 meV/atom.

a b c (Å): 11.757 6.824 5.900
angles (deg): 90.00 109.51 90.00
Space group C2/m (No. 12)
Asymmetric unit:
Er 0.000 0.000 0.000 (multiplicity 2)
Tm 0.248 0.500 0.495 (multiplicity 4)
Tm 0.250 0.250 0.000 (multiplicity 4)
Sc 0.000 0.253 0.500 (multiplicity 4)
Sc 0.000 0.500 0.000 (multiplicity 2)

[14]
The following is a DFT calculation (PBE-GGA) of a relaxed structure of Er5Tm3Sc2.

The volume is 30.3 Å³/atom. The calculation puts the formation energy at 201 meV/atom.

a b c (Å): 10.461 15.497 9.111
angles (deg): 90.00 124.98 90.00
Space group C2/c (No. 15)
Asymmetric unit:
Er 0.000 0.022 0.250 (multiplicity 4)
Er 0.000 0.221 0.250 (multiplicity 4)
Er 0.000 0.280 0.750 (multiplicity 4)
Er 0.247 0.137 0.738 (multiplicity 8)
Tm 0.000 0.482 0.750 (multiplicity 4)
Tm 0.152 0.128 0.049 (multiplicity 8)
Sc 0.146 0.369 0.547 (multiplicity 8)

[15]
The following is a DFT calculation (PBE-GGA) of a relaxed structure of Er8TmSc2.

The volume is 30.0 Å³/atom. Its energy above the most stable polymorph in this dataset is 0 meV/atom. The calculation puts the formation energy at 177 meV/atom.

a b c (Å): 8.839 16.030 5.753
angles (deg): 90.00 125.86 90.00
Space group C2/m (No. 12)
Asymmetric unit:
Er 0.000 0.205 0.000 (multiplicity 4)
Er 0.056 0.500 0.787 (multiplicity 4)
Er 0.221 0.125 0.691 (multiplicity 8)
Tm 0.000 0.000 0.000 (multiplicity 2)
Sc 0.000 0.311 0.500 (multiplicity 4)

[16]
The following is a DFT calculation (PBE-GGA) of a relaxed structure of ErTm7Sc2.

The volume is 35.7 Å³/atom. The calculation puts the formation energy at 683 meV/atom.

a b c (Å): 8.648 15.047 5.480
angles (deg): 90.00 90.00 90.00
Space group Cmmm (No. 65)
Asymmetric unit:
Er 0.000 0.000 0.000 (multiplicity 2)
Tm 0.000 0.234 0.000 (multiplicity 4)
Tm 0.000 0.500 0.500 (multiplicity 2)
Tm 0.180 0.119 0.500 (multiplicity 8)
Sc 0.000 0.295 0.500 (multiplicity 4)

[17]
The following is a DFT calculation (PBE-GGA) of a relaxed structure of Er7TmSc12.

The volume is 27.9 Å³/atom. The calculation puts the formation energy at 224 meV/atom.

a b c (Å): 11.3978 11.3978 14.8806
angles (deg): 90.00 90.00 120.00
Space group R-3 (No. 148, hexagonal axes)
Asymmetric unit:
Er 0.0000 0.0000 0.0000 (multiplicity 3)
Er 0.0447 0.8547 0.2958 (multiplicity 18)
Tm 0.0000 0.0000 0.5000 (multiplicity 3)
Sc 0.0112 0.5681 0.2168 (multiplicity 18)
Sc 0.0490 0.4598 0.5830 (multiplicity 18)

[18]
The following is a DFT calculation (PBE-GGA) of a relaxed structure of Er3Tm5Sc.

The volume is 35.9 Å³/atom. The calculation puts the formation energy at 612 meV/atom.

a b c (Å): 11.905 10.999 11.376
angles (deg): 90.00 119.93 90.00
Space group C2/m (No. 12)
Asymmetric unit:
Er 0.000 0.000 0.000 (multiplicity 2)
Er 0.000 0.000 0.500 (multiplicity 2)
Er 0.178 0.500 0.240 (multiplicity 4)
Er 0.217 0.000 0.343 (multiplicity 4)
Tm 0.000 0.284 0.000 (multiplicity 4)
Tm 0.006 0.500 0.373 (multiplicity 4)
Tm 0.175 0.500 0.955 (multiplicity 4)
Tm 0.177 0.257 0.801 (multiplicity 8)
Sc 0.071 0.000 0.791 (multiplicity 4)